Entry 1:
KPPb | GGA-PBE | optimized geometry

a = 5.0905 Å, b = 5.0905 Å, c = 5.0905 Å
α = 60.00°, β = 60.00°, γ = 60.00°
Closest atoms and distances in Å follow each position.
Positions (direct):
K (0.0000, 0.0000, 0.0000)  4 Pb 3.12, 4 P 3.12
P (0.2500, 0.2500, 0.2500)  4 K 3.12
Pb (0.7500, 0.7500, 0.7500)  4 K 3.12

Formation energy from the elements ... 0.51 eV per atom
Spin magnetization ... 0.000 μB per atom
Space-group type ... F-43m

---

Entry 2:
Tm2RuCl | GGA-PBE | optimized geometry

a = 7.8701 Å, b = 7.8701 Å, c = 7.8701 Å
α = 28.30°, β = 28.30°, γ = 28.30°
Closest atoms and distances in Å follow each position.
Positions (direct):
Tm (0.0000, 0.0000, 0.0000)  3 Ru 2.70
Tm (0.1998, 0.1998, 0.1998)  3 Ru 2.67
Ru (0.5988, 0.5988, 0.5988)  6 Tm 2.67-2.70
Cl (0.4271, 0.4271, 0.4271)  6 Tm 3.07-3.27

Spin magnetization ... 0.000 μB per atom
Space-group type ... R3m
Formation energy without anion corrections ... -317 kJ/mol of formula units

---

Entry 3:
Dy2Er5In5 | GGA-PBE | optimized geometry

a = 6.5063 Å, b = 6.5063 Å, c = 11.7570 Å
α = 108.33°, β = 108.33°, γ = 45.55°
Closest atoms and distances in Å follow each position.
Positions (direct):
Dy (0.0754, 0.0754, 0.2575)  4 In 3.17-3.27, 3 Er 3.46-3.53
Dy (0.9246, 0.9246, 0.7425)  4 In 3.17-3.27, 3 Er 3.46-3.53
Er (0.3483, 0.3483, 0.4992)  3 In 3.11-3.13, 3 Er 3.33-3.46
Er (0.3694, 0.3694, 0.2242)  5 In 3.13-3.31, 2 Er 3.33-3.50, 2 Dy 3.46
Er (0.5000, 0.5000, 0.0000)  6 In 3.31-3.56, 2 Er 3.50
Er (0.6306, 0.6306, 0.7758)  5 In 3.13-3.31, 2 Er 3.33-3.50, 2 Dy 3.46
Er (0.6517, 0.6517, 0.5008)  3 In 3.11-3.13, 3 Er 3.33-3.46
In (0.0000, 0.0000, 0.5000)  4 Er 3.11, 2 Dy 3.27, 2 In 3.29
In (0.1659, 0.1659, 0.9670)  3 In 3.15-3.44, 5 Er 3.17-3.31, 1 Dy 3.18
In (0.2586, 0.2586, 0.7202)  3 Er 3.13, 2 Dy 3.17, 2 In 3.29-3.44
In (0.7414, 0.7414, 0.2798)  3 Er 3.13, 2 Dy 3.17, 2 In 3.29-3.44
In (0.8341, 0.8341, 0.0330)  3 In 3.15-3.44, 5 Er 3.17-3.31, 1 Dy 3.18

Formation energy from the elements ... -0.30 eV per atom
Spin magnetization ... 0.000 μB per atom
Space-group type ... C2/m

---

Entry 4:
VInHgS2 | GGA-PBE | optimized geometry

a = 4.5860 Å, b = 4.5860 Å, c = 5.4794 Å
α = 90.00°, β = 90.00°, γ = 90.00°
Closest atoms and distances in Å follow each position.
Positions (direct):
V (0.0000, 0.0000, 0.0000)  4 S 2.29
In (0.5000, 0.5000, 0.5000)  4 Hg 3.24, 8 S 3.57
Hg (0.0000, 0.0000, 0.5000)  2 V 2.74
S (0.0000, 0.5000, 0.0000)  2 V 2.29
S (0.5000, 0.0000, 0.0000)  2 V 2.29

Spin magnetization ... 0.169 μB per atom
Space-group type ... P4/mmm
Formation energy without anion corrections ... -93 kJ/mol of formula units

---

Entry 5:
PmY3Mg2 | GGA-PBE | optimized geometry

a = 3.6893 Å, b = 3.6893 Å, c = 13.0254 Å
α = 90.00°, β = 90.00°, γ = 90.00°
Closest atoms and distances in Å follow each position.
Positions (direct):
Pm (0.0000, 0.0000, 0.0000)  8 Y 3.62, 4 Pm 3.69
Y (0.5000, 0.5000, 0.1929)  4 Mg 3.30, 4 Pm 3.62, 4 Y 3.69
Y (0.5000, 0.5000, 0.5000)  8 Mg 3.27
Y (0.5000, 0.5000, 0.8071)  4 Mg 3.30, 4 Pm 3.62, 4 Y 3.69
Mg (0.0000, 0.0000, 0.3485)  8 Y 3.27-3.30
Mg (0.0000, 0.0000, 0.6515)  8 Y 3.27-3.30

Formation energy from the elements ... -0.06 eV per atom
Spin magnetization ... 0.001 μB per atom
Space-group type ... P4/mmm

---

Entry 6:
Ca2CrNi3P4 | GGA-PBE | optimized geometry

a = 3.9773 Å, b = 3.9773 Å, c = 9.4754 Å
α = 90.00°, β = 90.00°, γ = 90.00°
Closest atoms and distances in Å follow each position.
Positions (direct):
Ca (0.0000, 0.5000, 0.2382)  8 P 3.01-3.05, 7 Ni 3.04-3.36, 2 Cr 3.18
Ca (0.5000, 0.0000, 0.7618)  8 P 3.01-3.05, 7 Ni 3.04-3.36, 2 Cr 3.18
Cr (0.0000, 0.0000, 0.5000)  4 P 2.38
Ni (0.0000, 0.5000, 0.8831)  5 P 2.28-2.33
Ni (0.5000, 0.0000, 0.1169)  5 P 2.28-2.33
Ni (0.5000, 0.5000, 0.5000)  4 P 2.38
P (0.0000, 0.0000, 0.0000)  4 Ni 2.28
P (0.0000, 0.5000, 0.6376)  3 Ni 2.33-2.38, 2 Cr 2.38
P (0.5000, 0.0000, 0.3624)  3 Ni 2.33-2.38, 2 Cr 2.38
P (0.5000, 0.5000, 0.0000)  4 Ni 2.28

Formation energy from the elements ... -0.77 eV per atom
Spin magnetization ... 0.236 μB per atom
Space-group type ... P-4m2